This record from Alexandria describes an optimized crystal structure of NaAlGaSn. The functional is PBE.

Calculated values
DOS(E_F) = 0.55 states/eV per atom
E_tot = -11.848 eV/f.u.

```
NaAlGaSn
1.0
0.000 3.540 3.540
3.540 0.000 3.540
3.540 3.540 0.000
Na Al Ga Sn
1 1 1 1
Direct
0.000 0.000 0.000 Na
0.500 0.500 0.500 Al
0.750 0.750 0.750 Ga
0.250 0.250 0.250 Sn
```

---

This record from Alexandria describes an optimized crystal structure of CdInSi3. The functional is PBE.

Calculated values
DOS(E_F) = 0.75 states/eV per atom
Energy relative to the elements, uncorrected = 1.146 eV per atom
E above lowest polymorph = 0 meV/atom

```
CdInSi3
1.0
5.063 0.000 0.000
0.000 5.063 0.000
0.000 0.000 5.063
Cd In Si
1 1 3
Direct
0.000 0.000 0.000 Cd
0.500 0.500 0.500 In
0.000 0.000 0.500 Si
0.000 0.500 0.000 Si
0.500 0.000 0.000 Si
```

---

This record from Alexandria describes an optimized crystal structure of TiTlPb2. The functional is PBE.

Calculated values
DOS(E_F) = 0.74 states/eV per atom
E above lowest polymorph = 0 meV/atom

```
TiTlPb2
1.0
3.313 0.000 0.000
0.000 3.313 0.000
0.000 0.000 9.745
Ti Tl Pb
1 1 2
Direct
0.000 0.000 0.000 Ti
0.000 0.000 0.500 Tl
0.500 0.500 0.211 Pb
0.500 0.500 0.789 Pb
```

---

This record from Alexandria describes an optimized crystal structure of CaLaZr2. The functional is PBE.

Calculated values
DOS(E_F) = 1.87 states/eV per atom
E above lowest polymorph = 256 meV/atom

```
CaLaZr2
1.0
4.066 0.000 0.000
0.000 4.066 0.000
0.000 0.000 6.925
Ca La Zr
1 1 2
Direct
0.000 0.000 0.000 Ca
0.000 0.000 0.500 La
0.500 0.500 0.277 Zr
0.500 0.500 0.723 Zr
```

---

This record from Alexandria describes an optimized crystal structure of ZnPtCI2. The functional is PBE.

Calculated values
DOS(E_F) = 1.42 states/eV per atom
Energy relative to the elements, uncorrected = 1.470 eV per atom

```
ZnPtCI2
1.0
5.621 0.000 0.000
0.000 5.621 0.000
0.000 0.000 3.754
Zn Pt C I
1 1 1 2
Direct
0.000 0.000 0.000 Zn
0.500 0.500 0.500 Pt
0.000 0.000 0.500 C
0.000 0.500 0.000 I
0.500 0.000 0.000 I
```

---

This record from Alexandria describes an optimized crystal structure of ZrFe2P. The functional is PBE.

Calculated values
DOS(E_F) = 0.68 states/eV per atom
E_tot = -32.508 eV/f.u.

```
ZrFe2P
1.0
3.424 0.000 0.000
0.000 3.690 0.000
-1.699 0.000 4.697
Zr Fe P
1 2 1
Direct
0.000 0.000 0.000 Zr
0.269 0.000 0.531 Fe
0.712 0.500 0.419 Fe
0.414 0.500 0.827 P
```

---

This record from Alexandria describes an optimized crystal structure of LiGaHg2Cl4. The functional is PBE.

Calculated values
DOS(E_F) = 0.00 states/eV per atom
Energy relative to the elements, uncorrected = -1.001 eV per atom

```
LiGaHg2Cl4
1.0
0.000 6.288 15.980
3.108 0.000 15.980
3.108 6.288 0.000
Li Ga Hg Cl
2 2 4 8
Direct
0.125 0.125 0.125 Li
0.875 0.875 0.875 Li
0.375 0.375 0.375 Ga
0.625 0.625 0.625 Ga
0.022 0.022 0.728 Hg
0.272 0.272 0.978 Hg
0.728 0.728 0.022 Hg
0.978 0.978 0.272 Hg
0.017 0.657 0.541 Cl
0.285 0.541 0.657 Cl
0.343 0.983 0.715 Cl
0.459 0.715 0.983 Cl
0.541 0.285 0.017 Cl
0.657 0.017 0.285 Cl
0.715 0.459 0.343 Cl
0.983 0.343 0.459 Cl
```

---

This record from Alexandria describes an optimized crystal structure of TbPm4In3. The functional is PBE.

Calculated values
DOS(E_F) = 1.42 states/eV per atom
E_tot = -34.471 eV/f.u.

```
TbPm4In3
1.0
2.740 1.582 9.161
-2.740 1.582 9.161
0.000 -3.164 9.161
Tb Pm In
1 4 3
Direct
0.000 0.000 0.000 Tb
0.131 0.131 0.131 Pm
0.384 0.384 0.384 Pm
0.616 0.616 0.616 Pm
0.869 0.869 0.869 Pm
0.260 0.260 0.260 In
0.500 0.500 0.500 In
0.740 0.740 0.740 In
```